(1)
Material: Be3NiAg
Method: DFT, GGA-PBEsol
State: relaxed

Cell lengths 4.150, 4.150, 4.150 Å; angles 90.00, 90.00, 90.00 degrees
Space group Pm-3m (No. 221)
One atom of each set of equivalent atoms:
Be: 0.000 0.000 0.500 x3
Ni: 0.500 0.500 0.500 x1
Ag: 0.000 0.000 0.000 x1

---

(2)
Material: ZrFe3Au
Method: DFT, GGA-PBEsol
State: relaxed

Values from the calculation:
**Energy relative to the lowest polymorph listed for this composition**: 280 meV/atom

Cell lengths 4.421, 4.421, 4.421 Å; angles 90.00, 90.00, 90.00 degrees
Space group Pm-3m (No. 221)
One atom of each set of equivalent atoms:
Zr: 0.000 0.000 0.000 x1
Fe: 0.000 0.000 0.500 x3
Au: 0.500 0.500 0.500 x1

---

Number 1: final energy -3.17 eV/atom, energy of formation from the pure elements 1.123 eV per atom. Number 2: final energy -6.44 eV/atom, energy of formation from the pure elements 1.541 eV per atom.